Material: AgTeMo2
Method: DFT, PBE
State: optimized geometry

Calculated values
Its mass density is 10.1 g cm⁻³. The raw formation energy is 2.531 eV per formula unit.

```
AgTeMo2
1.0
-2.067 2.067 4.129
2.067 -2.067 4.129
2.067 2.067 -4.129
Ag Te Mo
1 1 2
direct
0.000 0.000 0.000
0.750 0.250 0.500
0.250 0.750 0.500
0.500 0.500 0.000
```